This record from Alexandria via LeMat-Bulk describes Nb2CuSe4 at its PBEsol-relaxed geometry. The functional is SCAN.

Output
Total magnetization ... 0.00 μB per formula unit
Space-group type ... P3m1
Formation energy without anion corrections ... -776 meV/atom
Crystal system ... trigonal
Density of states at the Fermi level ... 3.67 states/eV/f.u.

Unit cell a=3.4805 b=3.4805 c=13.2838 alpha=90.00 beta=90.00 gamma=120.00
With the nearest neighbours (Å) after each atom.
Atoms (fractional coordinates):
Nb (0.0000, 0.0000, 0.7383)  6 Se 2.60-2.62
Nb (0.3333, 0.6667, 0.2592)  6 Se 2.59-2.60
Cu (0.0000, 0.0000, 0.9622)  4 Se 2.30-2.39
Se (0.0000, 0.0000, 0.3822)  3 Nb 2.59
Se (0.3333, 0.6667, 0.6145)  3 Nb 2.60
Se (0.3333, 0.6667, 0.8646)  3 Cu 2.39, 3 Nb 2.62
Se (0.0000, 0.0000, 0.1350)  1 Cu 2.30